Version P
A PBEsol-optimized structure of Sc2MoRu. Source: Alexandria, functional meta-GGA SCAN.

The structure in POSCAR format:
```
Sc2MoRu
1.0
2.964 0.000 -0.001
0.000 4.381 0.000
-1.358 0.000 5.252
Mo Ru Sc
1 1 2
direct
0.461 0.000 0.522
0.267 0.500 0.733
0.019 0.000 0.978
0.753 0.500 0.267
```

## Properties
For the spin magnetization, the calculation gives 0.00 μB/atom. The space group is Pm (6).


Version Q
A PBEsol-optimized structure of Sc2MoRu. Source: Alexandria, functional meta-GGA SCAN.

The structure in POSCAR format:
```
Sc2MoRu
1.0
4.540 0.000 0.000
2.270 3.932 0.000
2.270 1.311 3.707
Mo Ru Sc
1 1 2
direct
0.500 0.500 0.500
0.250 0.250 0.250
0.000 0.000 0.000
0.750 0.750 0.750
```

## Properties
For the spin magnetization, the calculation gives 0.00 μB/atom. The space group is F-43m (216).


Order of stability, best first: version P, version Q


Version P
A PBEsol-optimized structure of MoRuSe2. Source: Alexandria, functional meta-GGA SCAN.

The structure in POSCAR format:
```
MoRuSe2
1.0
-2.041 1.088 1.928
-1.088 -1.756 2.191
5.780 2.584 7.010
Mo Ru Se
1 1 2
direct
0.502 0.502 0.495
0.250 0.250 0.251
0.977 0.977 0.068
0.771 0.771 0.686
```

## Properties
For the spin magnetization, the calculation gives 0.00 μB/atom. The space group is R3m (160).


Version Q
A PBEsol-optimized structure of MoRuSe2. Source: Alexandria, functional meta-GGA SCAN.

The structure in POSCAR format:
```
MoRuSe2
1.0
-1.357 0.259 2.611
-1.192 -2.680 -0.354
6.192 -3.222 3.538
Mo Ru Se
1 1 2
direct
0.000 0.000 0.502
0.500 0.500 0.752
0.000 0.000 0.933
0.500 0.500 0.314
```

## Properties
For the spin magnetization, the calculation gives 0.00 μB/atom. The space group is P4mm (99).


Order of stability, best first: version Q, version P


Version P
A PBEsol-optimized structure of Mo2RuSe4. Source: Alexandria, functional meta-GGA SCAN.

The structure in POSCAR format:
```
Mo2RuSe4
1.0
6.592 -0.009 -0.009
-0.434 6.588 0.018
-0.494 -0.248 6.657
Mo Ru Se
4 2 8
direct
0.230 0.541 0.410
0.417 0.232 0.553
0.770 0.459 0.590
0.583 0.768 0.447
0.549 0.413 0.233
0.451 0.587 0.767
0.219 0.211 0.213
0.781 0.789 0.787
0.371 0.724 0.116
0.131 0.367 0.736
0.737 0.132 0.376
0.629 0.276 0.884
0.869 0.633 0.264
0.263 0.868 0.624
```

## Properties
For the spin magnetization, the calculation gives 0.00 μB/atom. The space group is P-1 (2).


Version Q
A PBEsol-optimized structure of Mo2RuSe4. Source: Alexandria, functional meta-GGA SCAN.

The structure in POSCAR format:
```
Mo2RuSe4
1.0
-6.145 1.343 2.006
0.117 -5.987 2.806
2.690 2.857 5.344
Mo Ru Se
4 2 8
direct
0.771 0.588 0.451
0.417 0.550 0.232
0.545 0.234 0.411
0.232 0.412 0.546
0.584 0.450 0.768
0.454 0.770 0.588
0.778 0.783 0.786
0.208 0.212 0.213
0.868 0.262 0.630
0.272 0.622 0.871
0.629 0.879 0.272
0.133 0.740 0.369
0.742 0.374 0.121
0.367 0.123 0.741
```

## Properties
For the spin magnetization, the calculation gives 0.00 μB/atom. The space group is P1 (1).


Order of stability, best first: version P, version Q


Version P
A PBEsol-optimized structure of SrMo2Ru. Source: Alexandria, functional meta-GGA SCAN.

The structure in POSCAR format:
```
SrMo2Ru
1.0
2.751 0.006 0.000
-1.138 5.218 0.000
-0.806 -2.612 4.804
Mo Ru Sr
2 1 1
direct
0.000 0.000 0.500
0.500 0.500 0.500
0.500 0.000 0.000
0.000 0.500 0.000
```

## Properties
For the spin magnetization, the calculation gives 0.00 μB/atom. The space group is C2/m (12).


Version Q
A PBEsol-optimized structure of SrMo2Ru. Source: Alexandria, functional meta-GGA SCAN.

The structure in POSCAR format:
```
SrMo2Ru
1.0
3.063 0.000 0.000
-1.531 4.683 0.008
0.000 -1.587 5.713
Mo Ru Sr
2 1 1
direct
0.039 0.077 0.103
0.749 0.498 0.255
0.471 0.942 0.402
0.241 0.483 0.740
```

## Properties
For the spin magnetization, the calculation gives 0.00 μB/atom. The space group is Cm (8).


Order of stability, best first: version Q, version P


Version P
A PBEsol-optimized structure of Ta2MoRu. Source: Alexandria, functional meta-GGA SCAN.

The structure in POSCAR format:
```
Ta2MoRu
1.0
-1.505 1.710 1.985
-3.008 -0.202 0.193
-0.739 -5.449 6.433
Mo Ru Ta
1 1 2
direct
0.500 0.500 0.500
0.000 0.000 0.000
0.250 0.250 0.249
0.750 0.750 0.751
```

## Properties
For the spin magnetization, the calculation gives 0.00 μB/atom. The space group is R-3m (166).


Version Q
A PBEsol-optimized structure of Ta2MoRu. Source: Alexandria, functional meta-GGA SCAN.

The structure in POSCAR format:
```
Ta2MoRu
1.0
4.471 0.000 0.000
2.235 3.872 0.000
2.235 1.291 3.650
Ru Mo Ta
1 1 2
direct
0.000 0.000 0.000
0.500 0.500 0.500
0.250 0.250 0.250
0.750 0.750 0.750
```

## Properties
For the spin magnetization, the calculation gives 0.00 μB/atom. The space group is Fm-3m (225).


Order of stability, best first: version Q, version P


Version P
A PBEsol-optimized structure of TaMo2Ru. Source: Alexandria, functional meta-GGA SCAN.

The structure in POSCAR format:
```
TaMo2Ru
1.0
-1.960 1.128 2.163
0.934 -2.216 2.002
4.527 3.815 2.113
Ru Mo Ta
1 2 1
direct
0.000 0.000 0.506
0.000 0.000 0.007
0.500 0.500 0.238
0.500 0.500 0.749
```

## Properties
For the spin magnetization, the calculation gives 0.00 μB/atom. The space group is P4mm (99).


Version Q
A PBEsol-optimized structure of TaMo2Ru. Source: Alexandria, functional meta-GGA SCAN.

The structure in POSCAR format:
```
TaMo2Ru
1.0
-2.709 -3.472 0.454
1.442 -4.074 -0.962
0.683 -2.931 3.247
Mo Ru Ta
2 1 1
direct
0.250 0.250 0.250
0.750 0.750 0.750
0.000 0.000 0.000
0.500 0.500 0.500
```

## Properties
For the spin magnetization, the calculation gives 0.00 μB/atom. The space group is Fm-3m (225).


Order of stability, best first: version P, version Q


Version P
A PBEsol-optimized structure of TcMoRu2. Source: Alexandria, functional meta-GGA SCAN.

The structure in POSCAR format:
```
TcMoRu2
1.0
2.710 0.000 0.000
0.000 4.671 0.002
0.000 -1.540 4.410
Ru Mo Tc
2 1 1
direct
0.000 0.500 0.000
0.000 0.000 0.500
0.500 0.500 0.500
0.500 0.000 0.000
```

## Properties
For the spin magnetization, the calculation gives 0.00 μB/atom. The space group is Cmmm (65).


Version Q
A PBEsol-optimized structure of TcMoRu2. Source: Alexandria, functional meta-GGA SCAN.

The structure in POSCAR format:
```
TcMoRu2
1.0
2.701 0.000 0.000
-1.350 4.485 0.003
0.000 -0.810 4.618
Mo Ru Tc
1 2 1
direct
0.000 0.000 0.500
0.752 0.505 0.759
0.248 0.495 0.241
0.500 0.000 0.000
```

## Properties
For the spin magnetization, the calculation gives 0.00 μB/atom. The space group is C2/m (12).


Order of stability, best first: version P, version Q


Version P
A PBEsol-optimized structure of TcMoRu2. Source: Alexandria, functional meta-GGA SCAN.

The structure in POSCAR format:
```
TcMoRu2
1.0
-2.566 0.792 -0.354
-0.517 0.009 3.766
1.573 5.188 0.203
Ru Mo Tc
2 1 1
direct
0.000 0.000 0.756
0.000 0.000 0.244
0.500 0.500 0.500
0.500 0.500 0.000
```

## Properties
For the spin magnetization, the calculation gives 0.00 μB/atom. The space group is Pmmm (47).


Version Q
A PBEsol-optimized structure of TcMoRu2. Source: Alexandria, functional meta-GGA SCAN.

The structure in POSCAR format:
```
TcMoRu2
1.0
-0.758 -2.382 1.041
0.889 -1.257 -2.227
6.877 -0.793 3.193
Ru Mo Tc
2 1 1
direct
0.000 0.000 0.756
0.000 0.000 0.244
0.500 0.500 0.500
0.500 0.500 0.000
```

## Properties
For the spin magnetization, the calculation gives 0.00 μB/atom. The space group is P4/mmm (123).


Version R
A PBEsol-optimized structure of TcMoRu2. Source: Alexandria, functional meta-GGA SCAN.

The structure in POSCAR format:
```
TcMoRu2
1.0
-1.491 -0.170 -2.259
4.017 -2.219 -0.856
-2.441 -3.540 1.877
Mo Ru Tc
1 2 1
direct
0.252 0.505 0.759
0.004 0.008 0.002
0.749 0.498 0.258
0.495 0.989 0.481
```

## Properties
For the spin magnetization, the calculation gives 0.00 μB/atom. The space group is Cm (8).


Order of stability, best first: version P, version Q, version R